<one>
A plane-wave DFT calculation with GGA-PBE was carried out for a geometry-optimized Pr2NdSb structure.

Computed properties:
Spin magnetization   0.00 μB/f.u.

```
data_Pr2NdSb
_symmetry_space_group_name_H-M 'R 3 m'
_symmetry_Int_Tables_number 160
_symmetry_space_group_name_Hall 'R 3 -2"'
_cell_length_a 4.2348
_cell_length_b 4.2348
_cell_length_c 27.7145
_cell_angle_alpha 90.00
_cell_angle_beta 90.00
_cell_angle_gamma 120.00
loop_
_atom_site_label
_atom_site_fract_x
_atom_site_fract_y
_atom_site_fract_z
Pr1 0.0000 0.0000 0.0000
Pr2 0.0000 0.0000 0.1947
Nd1 0.0000 0.0000 0.7638
Sb1 0.0000 0.0000 0.5975
```

***

<two>
A plane-wave DFT calculation with GGA-PBE was carried out for a geometry-optimized Pr2NdSb structure.

Computed properties:
Spin magnetization   0.21 μB/f.u.

```
data_Pr2NdSb
_symmetry_space_group_name_H-M 'P 4/m m m'
_symmetry_Int_Tables_number 123
_symmetry_space_group_name_Hall '-P 4 2'
_cell_length_a 4.2170
_cell_length_b 4.2170
_cell_length_c 7.2180
_cell_angle_alpha 90.00
_cell_angle_beta 90.00
_cell_angle_gamma 90.00
loop_
_atom_site_label
_atom_site_fract_x
_atom_site_fract_y
_atom_site_fract_z
Pr1 0.0000 0.0000 0.2182
Nd1 0.5000 0.5000 0.5000
Sb1 0.5000 0.5000 0.0000
```

***

Best to worst by energy: <two>, <one>.

***

<one>
A plane-wave DFT calculation with GGA-PBE was carried out for a geometry-optimized PrNdSb2 structure.

Computed properties:
Spin magnetization   0.00 μB/f.u.

```
data_PrNdSb2
_symmetry_space_group_name_H-M 'R -3 m'
_symmetry_Int_Tables_number 166
_symmetry_space_group_name_Hall '-R 3 2"'
_cell_length_a 4.5477
_cell_length_b 4.5477
_cell_length_c 22.1858
_cell_angle_alpha 90.00
_cell_angle_beta 90.00
_cell_angle_gamma 120.00
loop_
_atom_site_label
_atom_site_fract_x
_atom_site_fract_y
_atom_site_fract_z
Pr1 0.0000 0.0000 0.0000
Nd1 0.0000 0.0000 0.5000
Sb1 0.0000 0.0000 0.2493
```

***

<two>
A plane-wave DFT calculation with GGA-PBE was carried out for a geometry-optimized PrNdSb2 structure.

Computed properties:
Spin magnetization   0.00 μB/f.u.

```
data_PrNdSb2
_symmetry_space_group_name_H-M 'R 3 m'
_symmetry_Int_Tables_number 160
_symmetry_space_group_name_Hall 'R 3 -2"'
_cell_length_a 4.5004
_cell_length_b 4.5004
_cell_length_c 23.1761
_cell_angle_alpha 90.00
_cell_angle_beta 90.00
_cell_angle_gamma 120.00
loop_
_atom_site_label
_atom_site_fract_x
_atom_site_fract_y
_atom_site_fract_z
Pr1 0.0000 0.0000 0.0000
Nd1 0.0000 0.0000 0.8287
Sb1 0.0000 0.0000 0.4138
Sb2 0.0000 0.0000 0.5814
```

***

Best to worst by energy: <one>, <two>.

***

<one>
A plane-wave DFT calculation with GGA-PBE was carried out for a geometry-optimized PrNd3Sb3 structure.

Computed properties:
Spin magnetization   0.00 μB/f.u.

```
data_PrNd3Sb3
_symmetry_space_group_name_H-M 'P 21 3'
_symmetry_Int_Tables_number 198
_symmetry_space_group_name_Hall 'P 2ac 2ab 3'
_cell_length_a 9.5374
_cell_length_b 9.5374
_cell_length_c 9.5374
_cell_angle_alpha 90.00
_cell_angle_beta 90.00
_cell_angle_gamma 90.00
loop_
_atom_site_label
_atom_site_fract_x
_atom_site_fract_y
_atom_site_fract_z
Pr1 0.0701 0.4299 0.5701
Nd1 0.0708 0.5708 0.9292
Nd2 0.1801 0.1801 0.1801
Nd3 0.1799 0.8201 0.3201
Sb1 0.0002 0.2511 0.8759
```

***

<two>
A plane-wave DFT calculation with GGA-PBE was carried out for a geometry-optimized PrNd3Sb3 structure.

Computed properties:
Spin magnetization   0.00 μB/f.u.

```
data_PrNd3Sb3
_symmetry_space_group_name_H-M 'R -3'
_symmetry_Int_Tables_number 148
_symmetry_space_group_name_Hall '-R 3'
_cell_length_a 9.3573
_cell_length_b 9.3573
_cell_length_c 18.9756
_cell_angle_alpha 90.00
_cell_angle_beta 90.00
_cell_angle_gamma 120.00
loop_
_atom_site_label
_atom_site_fract_x
_atom_site_fract_y
_atom_site_fract_z
Pr1 0.0000 0.0000 0.1665
Nd1 0.0050 0.7339 0.5874
Sb1 0.0051 0.6227 0.4207
```

***

Best to worst by energy: <one>, <two>.